No. 1
Compound: Al2IrPt
Source: the Alexandria database
Functional: PBE
Structure: relaxed

Results
- ρ: 12.88 g/cm3
- Calculated volume: 14.22 A^3/atom
- N(E_F): 0.296 states/eV per atom
- Raw total energy: -26.1 eV per cell
- Symmetry: P4/mmm

abc: 4.0776 4.0769 3.4210
angles: 90.00 90.00 90.00
Atoms (fractional coordinates):
Ir 0.5000 0.0000 0.5000
Al 0.0000 0.0000 0.0000
Al 0.5000 0.5000 0.0000
Pt 0.0000 0.5000 0.5000

No. 2
Compound: AlIrPt3
Source: the Alexandria database
Functional: PBE
Structure: relaxed

Results
- ρ: 11.73 g/cm3
- Calculated volume: 22.78 A^3/atom
- Excess energy over the best structure of this formula in the dataset: 341 meV per atom
- N(E_F): 1.788 states/eV per atom
- Raw total energy: -24.8 eV per cell
- Symmetry: Pm-3m

abc: 4.8474 4.8474 4.8474
angles: 90.00 90.00 90.00
Atoms (fractional coordinates):
Ir 0.0000 0.0000 0.0000
Al 0.5000 0.5000 0.5000
Pt 0.0000 0.5000 0.0000
Pt 0.0000 0.0000 0.5000
Pt 0.5000 0.0000 0.0000

No. 3
Compound: Al2IrPt
Source: the Alexandria database
Functional: PBE
Structure: relaxed

Results
- ρ: 12.65 g/cm3
- Calculated volume: 14.48 A^3/atom
- N(E_F): 0.341 states/eV per atom
- Raw total energy: -25.9 eV per cell
- Symmetry: Cm

abc: 4.8716 4.8716 4.3745
angles: 75.95 75.95 35.25
Atoms (fractional coordinates):
Ir 0.4895 0.4895 0.5742
Al 0.9987 0.9987 0.0631
Al 0.7537 0.7537 0.6828
Pt 0.2580 0.2580 0.1799

No. 4
Compound: AlIr4Pt
Source: the Alexandria database
Functional: PBE
Structure: relaxed

Results
- ρ: 17.02 g/cm3
- Calculated volume: 16.11 A^3/atom
- N(E_F): 1.885 states/eV per atom
- Raw total energy: -43.1 eV per cell
- Symmetry: F-43m

abc: 5.1517 5.1517 5.1517
angles: 60.00 60.00 60.00
Atoms (fractional coordinates):
Al 0.0000 0.0000 0.0000
Ir 0.8750 0.3750 0.3750
Ir 0.3750 0.3750 0.8750
Ir 0.3750 0.8750 0.3750
Ir 0.3750 0.3750 0.3750
Pt 0.7500 0.7500 0.7500

No. 5
Compound: Al5IrPt2
Source: the Alexandria database
Functional: PBE
Structure: relaxed

Results
- ρ: 9.32 g/cm3
- Calculated volume: 15.97 A^3/atom
- N(E_F): 0.222 states/eV per atom
- Raw total energy: -182.3 eV per cell
- Symmetry: Pnma

abc: 7.1784 5.6931 12.5085
angles: 90.00 90.00 90.00
Atoms (fractional coordinates):
Al 0.0908 0.2500 0.5022
Al 0.9092 0.7500 0.4978
Al 0.5908 0.7500 0.9978
Al 0.4092 0.2500 0.0022
Al 0.3347 0.9881 0.6329
Al 0.6653 0.0119 0.3671
Al 0.8347 0.0119 0.8671
Al 0.6653 0.4881 0.3671
Al 0.1653 0.9881 0.1329
Al 0.3347 0.5119 0.6329
Al 0.1653 0.5119 0.1329
Al 0.8347 0.4881 0.8671
Al 0.1780 0.2500 0.8082
Al 0.8220 0.7500 0.1918
Al 0.6780 0.7500 0.6918
Al 0.3220 0.2500 0.3082
Al 0.6773 0.2500 0.6546
Al 0.3227 0.7500 0.3454
Al 0.1773 0.7500 0.8454
Al 0.8227 0.2500 0.1546
Ir 0.4617 0.2500 0.4915
Ir 0.5383 0.7500 0.5085
Ir 0.9617 0.7500 0.0085
Ir 0.0383 0.2500 0.9915
Pt 0.4837 0.4980 0.8287
Pt 0.5163 0.5020 0.1713
Pt 0.9837 0.5020 0.6713
Pt 0.5163 0.9980 0.1713
Pt 0.0163 0.4980 0.3287
Pt 0.4837 0.0020 0.8287
Pt 0.0163 0.0020 0.3287
Pt 0.9837 0.9980 0.6713

No. 6
Compound: AlIr2Pt
Source: the Alexandria database
Functional: PBE
Structure: relaxed

Results
- ρ: 17.17 g/cm3
- Calculated volume: 14.67 A^3/atom
- N(E_F): 0.730 states/eV per atom
- Raw total energy: -29.1 eV per cell
- Symmetry: Cm

abc: 4.7517 4.7517 4.7268
angles: 77.53 77.53 34.35
Atoms (fractional coordinates):
Ir 0.9920 0.9920 0.9824
Ir 0.7445 0.7445 0.7730
Al 0.2542 0.2542 0.2635
Pt 0.5094 0.5094 0.4811

No. 7
Compound: AlIr2Pt
Source: the Alexandria database
Functional: PBE
Structure: relaxed

Results
- ρ: 15.62 g/cm3
- Calculated volume: 16.11 A^3/atom
- N(E_F): 1.216 states/eV per atom
- Raw total energy: -54.8 eV per cell
- Symmetry: I-42d

abc: 3.7593 3.7593 9.5012
angles: 78.59 78.59 90.00
Atoms (fractional coordinates):
Ir 0.6297 0.1250 0.2500
Ir 0.1203 0.6250 0.2500
Ir 0.3750 0.3703 0.7500
Ir 0.8750 0.8797 0.7500
Al 0.5000 0.5000 0.0000
Al 0.2500 0.7500 0.5000
Pt 0.0000 0.0000 0.0000
Pt 0.7500 0.2500 0.5000

No. 8
Compound: Pu2Al6IrPt
Source: the Alexandria database
Functional: PBE
Structure: relaxed

Results
- ρ: 8.41 g/cm3
- Calculated volume: 20.47 A^3/atom
- N(E_F): 2.043 states/eV per atom
- Raw total energy: -70.2 eV per cell
- Symmetry: C2/m

abc: 6.7024 6.6746 6.6750
angles: 51.61 67.45 89.67
Each line ends with the local moment (μB).
Atoms (fractional coordinates):
Pu 0.3673 0.7538 0.3866  5.56
Pu 0.6327 0.2462 0.6134  5.56
Al 0.1811 0.6787 0.9960  0.00
Al 0.7954 0.7493 0.9541  0.00
Al 0.1810 0.1767 0.4977  0.00
Al 0.8189 0.3213 0.0040  0.00
Al 0.2046 0.2507 0.0459  0.00
Al 0.8190 0.8233 0.5023  0.00
Ir 0.5000 0.5000 0.0000  0.01
Pt 0.0000 0.0000 0.0000  0.03

No. 9
Compound: ScAlIrPt
Source: the Alexandria database
Functional: PBE
Structure: relaxed

Results
- ρ: 12.08 g/cm3
- Calculated volume: 15.78 A^3/atom
- N(E_F): 0.540 states/eV per atom
- Raw total energy: -29.0 eV per cell
- Symmetry: F-43m

abc: 4.4688 4.4688 4.4688
angles: 60.00 60.00 60.00
Atoms (fractional coordinates):
Sc 0.5000 0.5000 0.5000
Ir 0.2500 0.2500 0.2500
Al 0.0000 0.0000 0.0000
Pt 0.7500 0.7500 0.7500

No. 10
Compound: Sm2Al4Ir3Pt
Source: the Alexandria database
Functional: PBE
Structure: relaxed

Results
- ρ: 10.57 g/cm3
- Calculated volume: 18.54 A^3/atom
- N(E_F): 0.508 states/eV per atom
- Raw total energy: -66.4 eV per cell
- Symmetry: P-4m2

abc: 4.2126 4.2126 10.4480
angles: 90.00 90.00 90.00
Atoms (fractional coordinates):
Sm 0.5000 0.0000 0.2530
Sm 0.0000 0.5000 0.7470
Al 0.5000 0.5000 0.0000
Al 0.0000 0.0000 0.0000
Al 0.5000 0.0000 0.6267
Al 0.0000 0.5000 0.3733
Ir 0.0000 0.0000 0.5000
Ir 0.5000 0.0000 0.8648
Ir 0.0000 0.5000 0.1352
Pt 0.5000 0.5000 0.5000

No. 11
Compound: SmAl4IrPt2
Source: the Alexandria database
Functional: PBE
Structure: relaxed

Results
- ρ: 9.99 g/cm3
- Calculated volume: 17.47 A^3/atom
- N(E_F): 0.479 states/eV per atom
- Raw total energy: -47.8 eV per cell
- Symmetry: R-3m

abc: 4.2617 4.2617 9.2189
angles: 76.64 76.64 60.00
Atoms (fractional coordinates):
Sm 0.0000 0.0000 0.0000
Al 0.4032 0.4032 0.7903
Al 0.8666 0.8666 0.4003
Al 0.1334 0.1334 0.5997
Al 0.5968 0.5968 0.2097
Ir 0.5000 0.5000 0.5000
Pt 0.7660 0.7660 0.7021
Pt 0.2340 0.2340 0.2979

No. 12
Compound: Sm2Al3IrPt12
Source: the Alexandria database
Functional: PBE
Structure: relaxed

Results
- ρ: 13.27 g/cm3
- Calculated volume: 20.26 A^3/atom
- N(E_F): 0.673 states/eV per atom
- Raw total energy: -108.7 eV per cell
- Symmetry: R-3m

abc: 8.1000 8.1000 8.1000
angles: 58.70 58.70 58.70
Atoms (fractional coordinates):
Sm 0.6252 0.6252 0.6252
Sm 0.3748 0.3748 0.3748
Al 0.5000 0.0000 0.0000
Al 0.0000 0.5000 0.0000
Al 0.0000 0.0000 0.5000
Ir 0.0000 0.0000 0.0000
Pt 0.3755 0.3755 0.8723
Pt 0.8723 0.8723 0.3884
Pt 0.3884 0.8723 0.8723
Pt 0.8723 0.3755 0.3755
Pt 0.8723 0.3884 0.8723
Pt 0.3755 0.8723 0.3755
Pt 0.6245 0.6245 0.1277
Pt 0.1277 0.1277 0.6116
Pt 0.6116 0.1277 0.1277
Pt 0.1277 0.6245 0.6245
Pt 0.1277 0.6116 0.1277
Pt 0.6245 0.1277 0.6245

No. 13
Compound: Tb2Al4IrPt3
Source: the Alexandria database
Functional: PBE
Structure: relaxed

Results
- ρ: 10.84 g/cm3
- Calculated volume: 18.43 A^3/atom
- N(E_F): 0.617 states/eV per atom
- Raw total energy: -62.1 eV per cell
- Symmetry: P-4m2

abc: 4.2030 4.2030 10.4323
angles: 90.00 90.00 90.00
Atoms (fractional coordinates):
Tb 0.5000 0.0000 0.2569
Tb 0.0000 0.5000 0.7431
Al 0.5000 0.5000 0.0000
Al 0.0000 0.0000 0.0000
Al 0.5000 0.0000 0.6277
Al 0.0000 0.5000 0.3723
Ir 0.5000 0.5000 0.5000
Pt 0.0000 0.0000 0.5000
Pt 0.5000 0.0000 0.8641
Pt 0.0000 0.5000 0.1359

No. 14
Compound: TbAl4Ir2Pt
Source: the Alexandria database
Functional: PBE
Structure: relaxed

Results
- ρ: 10.38 g/cm3
- Calculated volume: 16.92 A^3/atom
- N(E_F): 0.395 states/eV per atom
- Raw total energy: -49.9 eV per cell
- Symmetry: R-3m

abc: 4.2513 4.2513 8.9885
angles: 76.32 76.32 60.00
Atoms (fractional coordinates):
Tb 0.0000 0.0000 0.0000
Al 0.4014 0.4014 0.7958
Al 0.8702 0.8702 0.3893
Al 0.1298 0.1298 0.6107
Al 0.5986 0.5986 0.2042
Ir 0.7661 0.7661 0.7017
Ir 0.2339 0.2339 0.2983
Pt 0.5000 0.5000 0.5000

No. 15
Compound: TbAl4IrPt2
Source: the Alexandria database
Functional: PBE
Structure: relaxed

Results
- ρ: 10.26 g/cm3
- Calculated volume: 17.19 A^3/atom
- N(E_F): 0.505 states/eV per atom
- Raw total energy: -47.6 eV per cell
- Symmetry: R-3m

abc: 4.2586 4.2586 9.0939
angles: 76.46 76.46 60.00
Atoms (fractional coordinates):
Tb 0.0000 0.0000 0.0000
Al 0.4019 0.4019 0.7944
Al 0.8667 0.8667 0.3999
Al 0.1333 0.1333 0.6001
Al 0.5981 0.5981 0.2056
Ir 0.5000 0.5000 0.5000
Pt 0.7644 0.7644 0.7068
Pt 0.2356 0.2356 0.2932

No. 16
Compound: Tb2Al4Ir3Pt
Source: the Alexandria database
Functional: PBE
Structure: relaxed

Results
- ρ: 10.92 g/cm3
- Calculated volume: 18.21 A^3/atom
- N(E_F): 0.488 states/eV per atom
- Raw total energy: -66.4 eV per cell
- Symmetry: P-4m2

abc: 4.1726 4.1726 10.4592
angles: 90.00 90.00 90.00
Atoms (fractional coordinates):
Tb 0.5000 0.0000 0.2527
Tb 0.0000 0.5000 0.7473
Al 0.5000 0.5000 0.0000
Al 0.0000 0.0000 0.0000
Al 0.5000 0.0000 0.6277
Al 0.0000 0.5000 0.3723
Ir 0.0000 0.0000 0.5000
Ir 0.5000 0.0000 0.8630
Ir 0.0000 0.5000 0.1369
Pt 0.5000 0.5000 0.5000

No. 17
Compound: Al2TcIrPt
Source: the Alexandria database
Functional: PBE
Structure: relaxed

Results
- ρ: 9.18 g/cm3
- Calculated volume: 19.52 A^3/atom
- N(E_F): 0.598 states/eV per atom
- Raw total energy: -28.6 eV per cell
- Symmetry: P4/mmm

abc: 4.5882 4.6362 4.5882
angles: 90.00 90.00 90.00
Atoms (fractional coordinates):
Ir 0.0000 0.5000 0.0000
Tc 0.0000 0.0000 0.0000
Pt 0.5000 0.5000 0.5000
Al 0.0000 0.0000 0.5000
Al 0.5000 0.0000 0.0000

No. 18
Compound: Th2Al4IrPt3
Source: the Alexandria database
Functional: PBE
Structure: relaxed

Results
- ρ: 11.79 g/cm3
- Calculated volume: 19.00 A^3/atom
- N(E_F): 0.858 states/eV per atom
- Raw total energy: -67.6 eV per cell
- Symmetry: P-4m2

abc: 4.2674 4.2674 10.4327
angles: 90.00 90.00 90.00
Atoms (fractional coordinates):
Th 0.5000 0.0000 0.2535
Th 0.0000 0.5000 0.7465
Al 0.5000 0.5000 0.0000
Al 0.0000 0.0000 0.0000
Al 0.5000 0.0000 0.6273
Al 0.0000 0.5000 0.3727
Ir 0.5000 0.5000 0.5000
Pt 0.0000 0.0000 0.5000
Pt 0.5000 0.0000 0.8647
Pt 0.0000 0.5000 0.1353

No. 19
Compound: ThAl3IrPt
Source: the Alexandria database
Functional: PBE
Structure: relaxed

Results
- ρ: 9.18 g/cm3
- Calculated volume: 21.12 A^3/atom
- N(E_F): 0.642 states/eV per atom
- Raw total energy: -73.4 eV per cell
- Symmetry: Cmcm

abc: 5.9763 7.8777 6.6709
angles: 126.19 90.00 90.00
Atoms (fractional coordinates):
Th 0.7500 0.2521 0.5041
Th 0.2500 0.7479 0.4959
Al 0.2500 0.2612 0.5223
Al 0.0000 0.2493 0.0000
Al 0.5000 0.7507 0.0000
Al 0.5000 0.2493 0.0000
Al 0.0000 0.7507 0.0000
Al 0.7500 0.7388 0.4777
Ir 0.2500 0.4809 0.9618
Ir 0.7500 0.5191 0.0382
Pt 0.2500 0.0418 0.0836
Pt 0.7500 0.9582 0.9164

No. 20
Compound: AlZnIr2Pt
Source: the Alexandria database
Functional: PBE
Structure: relaxed

Results
- ρ: 12.83 g/cm3
- Calculated volume: 17.40 A^3/atom
- N(E_F): 0.864 states/eV per atom
- Raw total energy: -24.2 eV per cell
- Symmetry: P4/mmm

abc: 4.4258 4.4410 4.4258
angles: 90.00 90.00 90.00
Atoms (fractional coordinates):
Zn 0.0000 0.5000 0.0000
Ir 0.0000 0.0000 0.5000
Ir 0.5000 0.0000 0.0000
Al 0.0000 0.0000 0.0000
Pt 0.5000 0.5000 0.5000

No. 21
Compound: PuAl6Ir3
Source: the Alexandria database
Functional: PBE
Structure: relaxed

Results
- ρ: 9.73 g/cm3
- Calculated volume: 16.77 A^3/atom
- N(E_F): 1.322 states/eV per atom
- Raw total energy: -140.5 eV per cell
- Symmetry: P2_1/m

abc: 4.2209 8.0356 9.9797
angles: 82.31 90.00 90.00
Each line ends with the local moment (μB).
Atoms (fractional coordinates):
Pu 0.7500 0.0579 0.7291  4.88
Pu 0.2500 0.9421 0.2709  4.88
Al 0.7500 0.4236 0.5665  0.00
Al 0.2500 0.5764 0.4335  0.00
Al 0.7500 0.8616 0.0229  -0.01
Al 0.2500 0.1384 0.9771  -0.01
Al 0.7500 0.4602 0.0851  0.01
Al 0.2500 0.5398 0.9149  0.01
Al 0.7500 0.6716 0.2684  0.00
Al 0.2500 0.3284 0.7316  0.00
Al 0.7500 0.1276 0.4094  0.00
Al 0.2500 0.8724 0.5906  0.00
Al 0.7500 0.6816 0.7541  0.00
Al 0.2500 0.3184 0.2459  0.00
Ir 0.7500 0.3717 0.8537  -0.04
Ir 0.2500 0.6283 0.1463  -0.04
Ir 0.7500 0.7520 0.4962  -0.05
Ir 0.2500 0.2480 0.5038  -0.05
Ir 0.7500 0.1476 0.1387  -0.12
Ir 0.2500 0.8524 0.8613  -0.12

No. 22
Compound: Pu2Al12Ir
Source: the Alexandria database
Functional: PBE
Structure: relaxed

Results
- ρ: 5.78 g/cm3
- Calculated volume: 19.22 A^3/atom
- N(E_F): 1.749 states/eV per atom
- Raw total energy: -173.0 eV per cell
- Symmetry: P4/nbm

abc: 5.9495 5.9495 16.2867
angles: 90.00 90.00 90.00
Each line ends with the local moment (μB).
Atoms (fractional coordinates):
Pu 0.5000 0.0000 0.2444  5.25
Pu 0.0000 0.5000 0.2444  5.25
Pu 0.0000 0.5000 0.7556  5.25
Pu 0.5000 0.0000 0.7556  5.25
Al 0.5000 0.5000 0.8129  -0.02
Al 0.0000 0.0000 0.8129  -0.02
Al 0.7502 0.7498 0.9140  -0.01
Al 0.2502 0.7502 0.9140  -0.01
Al 0.0000 0.0000 0.3388  -0.01
Al 0.2498 0.7498 0.0860  -0.01
Al 0.8290 0.3290 0.5701  -0.01
Al 0.5000 0.5000 0.3388  -0.01
Al 0.2498 0.2502 0.9140  -0.01
Al 0.7498 0.7502 0.0860  -0.01
Al 0.3290 0.1710 0.5701  -0.01
Al 0.6710 0.1710 0.4299  -0.01
Al 0.0000 0.0000 0.6612  -0.01
Al 0.1710 0.3290 0.4299  -0.01
Al 0.2502 0.2498 0.0860  -0.01
Al 0.8290 0.6710 0.4299  -0.01
Al 0.6710 0.8290 0.5701  -0.01
Al 0.0000 0.0000 0.1871  -0.02
Al 0.1710 0.6710 0.5701  -0.01
Al 0.5000 0.5000 0.6612  -0.01
Al 0.7498 0.2498 0.9140  -0.01
Al 0.5000 0.5000 0.1871  -0.02
Al 0.3290 0.8290 0.4299  -0.01
Al 0.7502 0.2502 0.0860  -0.01
Ir 0.5000 0.0000 0.0000  -0.07
Ir 0.0000 0.5000 0.0000  -0.07